[1]
VASP calculation (GGA-PBE) on HgC3F after structural relaxation.

Cell: 3.9258 3.9258 3.9258 Å, 90.00 90.00 90.00°
Closest atoms and distances in Å follow each position.
Atoms (fractional coordinates):
C  0.0000  0.5000  0.0000  2 F 1.96
C  0.0000  0.0000  0.5000  2 F 1.96
C  0.5000  0.0000  0.0000  2 F 1.96
Hg  0.5000  0.5000  0.5000  12 C 2.78
F  0.0000  0.0000  0.0000  6 C 1.96

Results
- DOS(E_F) (states/eV/f.u.) = 4.3
- total magnetic moment (μB/f.u.) = 0.0
- formation energy (no corrections) (eV per atom) = 3.22
- polymorph energy (0 for the lowest one) (eV/atom) = 0.000


[2]
VASP calculation (GGA-PBE) on HgCF2 after structural relaxation.

Cell: 4.6377 4.7133 7.4741 Å, 109.98 93.97 94.80°
Closest atoms and distances in Å follow each position.
Atoms (fractional coordinates):
C  0.4913  0.0401  0.4224  1 C 1.34, 1 F 1.37
C  0.5087  0.9599  0.5776  1 C 1.34, 1 F 1.37
Hg  0.1735  0.8734  0.1954  1 C 2.05, 1 F 2.08
Hg  0.8265  0.1266  0.8046  1 C 2.05, 1 F 2.08
F  0.7000  0.2565  0.4123  1 C 1.37
F  0.3000  0.7435  0.5877  1 C 1.37
F  0.1840  0.2723  0.0104  1 Hg 2.08
F  0.8160  0.7277  0.9896  1 Hg 2.08

Results
- DOS(E_F) (states/eV/f.u.) = 0.0
- total magnetic moment (μB/f.u.) = 0.0
- formation energy (no corrections) (eV per atom) = -0.79
- polymorph energy (0 for the lowest one) (eV/atom) = 0.000


[3]
VASP calculation (GGA-PBE) on HgCF2 after structural relaxation.

Cell: 8.1734 8.1734 8.1734 Å, 21.24 21.24 21.24°
Closest atoms and distances in Å follow each position.
Atoms (fractional coordinates):
C  0.5000  0.5000  0.5000  6 F 2.02
Hg  0.0000  0.0000  0.0000  2 F 2.97, 6 Hg 3.01
F  0.8758  0.8758  0.8758  3 C 2.02
F  0.1242  0.1242  0.1242  3 C 2.02

Results
- DOS(E_F) (states/eV/f.u.) = 0.8
- total magnetic moment (μB/f.u.) = 0.0
- formation energy (no corrections) (eV per atom) = 0.49
- polymorph energy (0 for the lowest one) (eV/atom) = 1.288


[4]
VASP calculation (GGA-PBE) on HgCF3 after structural relaxation.

Cell: 4.4519 4.4519 4.4519 Å, 90.00 90.00 90.00°
Closest atoms and distances in Å follow each position.
Atoms (fractional coordinates):
C  0.5000  0.5000  0.5000  12 F 3.15
Hg  0.0000  0.0000  0.0000  6 F 2.23
F  0.0000  0.5000  0.0000  2 Hg 2.23
F  0.0000  0.0000  0.5000  2 Hg 2.23
F  0.5000  0.0000  0.0000  2 Hg 2.23

Results
- DOS(E_F) (states/eV/f.u.) = 9.6
- total magnetic moment (μB/f.u.) = 1.3
- formation energy (no corrections) (eV per atom) = 0.53
- polymorph energy (0 for the lowest one) (eV/atom) = 0.447


[5]
VASP calculation (GGA-PBE) on HgCF2 after structural relaxation.

Cell: 5.8397 5.8397 5.8462 Å, 60.04 60.04 90.00°
Closest atoms and distances in Å follow each position.
Atoms (fractional coordinates):
C  0.5000  0.5000  0.0000  4 F 1.79
C  0.2500  0.7500  0.5000  4 F 1.79
Hg  0.0000  0.0000  0.0000  12 F 3.42-3.43, 4 Hg 3.58, 4 C 3.58
Hg  0.7500  0.2500  0.5000  12 F 3.42-3.43, 4 C 3.58, 4 Hg 3.58
F  0.3752  0.1250  0.2500  2 C 1.79
F  0.3748  0.6250  0.2500  2 C 1.79
F  0.3750  0.6248  0.7500  2 C 1.79
F  0.8750  0.6252  0.7500  2 C 1.79

Results
- DOS(E_F) (states/eV/f.u.) = 0.4
- total magnetic moment (μB/f.u.) = 0.0
- formation energy (no corrections) (eV per atom) = 0.39
- polymorph energy (0 for the lowest one) (eV/atom) = 1.186


[6]
VASP calculation (GGA-PBE) on HgCF2 after structural relaxation.

Cell: 8.2187 8.2187 8.2187 Å, 20.13 20.13 20.13°
Closest atoms and distances in Å follow each position.
Atoms (fractional coordinates):
C  0.0000  0.0000  0.0000  2 F 1.53
Hg  0.5000  0.5000  0.5000  6 Hg 2.87, 6 F 3.00
F  0.9367  0.9367  0.9367  1 C 1.53
F  0.0633  0.0633  0.0633  1 C 1.53

Results
- DOS(E_F) (states/eV/f.u.) = 0.5
- total magnetic moment (μB/f.u.) = 0.0
- formation energy (no corrections) (eV per atom) = 0.45
- polymorph energy (0 for the lowest one) (eV/atom) = 1.246


[7]
VASP calculation (GGA-PBE) on HgCF2 after structural relaxation.

Cell: 3.8089 5.1285 8.7548 Å, 71.93 72.65 66.14°
Closest atoms and distances in Å follow each position.
Atoms (fractional coordinates):
C  0.7326  0.4919  0.2485  1 C 1.34, 1 F 1.39
C  0.6059  0.2769  0.3489  1 C 1.34, 1 F 1.39
Hg  0.6689  0.8844  0.2988  2 C 2.10
Hg  0.6541  0.8876  0.8000  2 F 2.02
F  0.9473  0.4412  0.0954  1 C 1.39
F  0.3910  0.3281  0.5019  1 C 1.39
F  0.8644  0.0568  0.9188  1 Hg 2.02
F  0.4432  0.7190  0.6811  1 Hg 2.02

Results
- total magnetic moment (μB/f.u.) = 0.0
- formation energy (no corrections) (eV per atom) = -0.69
- polymorph energy (0 for the lowest one) (eV/atom) = 0.099


[8]
VASP calculation (GGA-PBE) on HgCF2 after structural relaxation.

Cell: 4.2322 5.0814 4.8947 Å, 60.64 85.10 64.72°
Closest atoms and distances in Å follow each position.
Atoms (fractional coordinates):
C  0.7067  0.8816  0.1895  2 F 1.43
Hg  0.1407  0.0085  0.1968  2 C 2.20
F  0.8565  0.5390  0.4451  1 C 1.43
F  0.7518  0.8451  0.9156  1 C 1.43

Results
- DOS(E_F) (states/eV/f.u.) = 0.0
- total magnetic moment (μB/f.u.) = 0.0
- formation energy (no corrections) (eV per atom) = -0.53
- polymorph energy (0 for the lowest one) (eV/atom) = 0.261


[9]
VASP calculation (GGA-PBE) on HgCF2 after structural relaxation.

Cell: 4.1706 4.1706 4.1706 Å, 60.00 60.00 60.00°
Closest atoms and distances in Å follow each position.
Atoms (fractional coordinates):
C  0.0000  0.0000  0.0000  8 F 2.55
Hg  0.5000  0.5000  0.5000  8 F 2.55
F  0.2500  0.2500  0.2500  4 Hg 2.55, 4 C 2.55
F  0.7500  0.7500  0.7500  4 C 2.55, 4 Hg 2.55

Results
- DOS(E_F) (states/eV/f.u.) = 1.8
- total magnetic moment (μB/f.u.) = 0.0
- formation energy (no corrections) (eV per atom) = 0.84
- polymorph energy (0 for the lowest one) (eV/atom) = 1.631


[10]
VASP calculation (GGA-PBE) on HgC3F after structural relaxation.

Cell: 4.3675 4.3675 4.3675 Å, 90.00 90.00 90.00°
Closest atoms and distances in Å follow each position.
Atoms (fractional coordinates):
C  0.0000  0.5000  0.0000  2 Hg 2.18
C  0.0000  0.0000  0.5000  2 Hg 2.18
C  0.5000  0.0000  0.0000  2 Hg 2.18
Hg  0.0000  0.0000  0.0000  6 C 2.18
F  0.5000  0.5000  0.5000  12 C 3.09

Results
- DOS(E_F) (states/eV/f.u.) = 4.6
- total magnetic moment (μB/f.u.) = 3.6
- formation energy (no corrections) (eV per atom) = 3.45
- polymorph energy (0 for the lowest one) (eV/atom) = 0.233


[11]
VASP calculation (GGA-PBE) on Hg3CF after structural relaxation.

Cell: 4.6589 4.6589 4.6589 Å, 90.00 90.00 90.00°
Closest atoms and distances in Å follow each position.
Atoms (fractional coordinates):
C  0.0000  0.0000  0.0000  6 Hg 2.33
Hg  0.0000  0.5000  0.0000  2 C 2.33
Hg  0.0000  0.0000  0.5000  2 C 2.33
Hg  0.5000  0.0000  0.0000  2 C 2.33
F  0.5000  0.5000  0.5000  12 Hg 3.29

Results
- DOS(E_F) (states/eV/f.u.) = 1.4
- total magnetic moment (μB/f.u.) = 0.0
- formation energy (no corrections) (eV per atom) = 0.38
- polymorph energy (0 for the lowest one) (eV/atom) = 0.000


[12]
VASP calculation (GGA-PBE) on HgCF3 after structural relaxation.

Cell: 3.9676 3.9676 3.9676 Å, 90.00 90.00 90.00°
Closest atoms and distances in Å follow each position.
Atoms (fractional coordinates):
C  0.0000  0.0000  0.0000  6 F 1.98
Hg  0.5000  0.5000  0.5000  12 F 2.81
F  0.0000  0.5000  0.0000  2 C 1.98
F  0.0000  0.0000  0.5000  2 C 1.98
F  0.5000  0.0000  0.0000  2 C 1.98

Results
- DOS(E_F) (states/eV/f.u.) = 3.5
- total magnetic moment (μB/f.u.) = 0.0
- formation energy (no corrections) (eV per atom) = 0.08
- polymorph energy (0 for the lowest one) (eV/atom) = 0.000


Please write out number 10 again, unchanged.
VASP calculation (GGA-PBE) on HgC3F after structural relaxation.

Cell: 4.3675 4.3675 4.3675 Å, 90.00 90.00 90.00°
Closest atoms and distances in Å follow each position.
Atoms (fractional coordinates):
C  0.0000  0.5000  0.0000  2 Hg 2.18
C  0.0000  0.0000  0.5000  2 Hg 2.18
C  0.5000  0.0000  0.0000  2 Hg 2.18
Hg  0.0000  0.0000  0.0000  6 C 2.18
F  0.5000  0.5000  0.5000  12 C 3.09

Results
- DOS(E_F) (states/eV/f.u.) = 4.6
- total magnetic moment (μB/f.u.) = 3.6
- formation energy (no corrections) (eV per atom) = 3.45
- polymorph energy (0 for the lowest one) (eV/atom) = 0.233


Question: Look up the formation energy (no corrections) of the fourth one.
Answer: 0.53 eV per atom